Record 1
First-principles (PBE-GGA) data for a relaxed structure of ErTmIn2Se4, as listed in the Alexandria database.

```
8
Lattice="-2.4296 1.7812 -2.7935 -5.4951 -0.4471 4.4942 3.6234 7.1182 1.3875" Properties=species:S:1:pos:R:3 pbc="T T T"
Er 0.0000 0.0000 0.0000
Tm -3.9623 0.6671 0.8504
In 0.5969 4.4497 -0.7030
In -0.9359 3.3356 2.9408
Se -1.7666 2.2511 -0.0493
Se -2.5347 6.2012 3.1375
Se 1.4175 5.5369 2.2977
Se -3.2892 1.1343 3.5840
```

As for the space group: No. 10. For the formation energy from raw total energies, the calculation gives -1292 meV/atom.

=====

Record 2
First-principles (PBE-GGA) data for a relaxed structure of ErTm2In3Se6, as listed in the Alexandria database.

```
12
Lattice="-1.4698 0.6530 -6.9222 -4.6450 -3.1849 4.3340 -1.3708 7.6792 2.2316" Properties=species:S:1:pos:R:3 pbc="T T T"
Er 0.0000 0.0000 0.0000
Tm -3.5866 -1.9057 0.5822
Tm -2.5281 -0.6262 -3.1703
In -4.8021 1.2932 3.5772
In -2.6834 3.8541 -3.9337
In -3.7428 2.5737 -0.1783
Se -5.2311 4.8075 -2.0877
Se -4.7694 -0.2818 -1.4415
Se -2.2545 0.3399 1.7311
Se -6.2931 3.5237 1.6775
Se -2.7161 5.4291 1.0849
Se -1.1924 1.6236 -2.0340
```

As for the space group: No. 12. For the formation energy from raw total energies, the calculation gives -1291 meV/atom.

=====

Record 3
First-principles (PBE-GGA) data for a relaxed structure of Er3UIn3Se8, as listed in the Alexandria database.

```
15
Lattice="8.2076 0.0000 0.0000 -4.1038 7.1097 -0.0280 0.0000 -4.7084 7.8069" Properties=species:S:1:pos:R:3 pbc="T T T"
Er 4.1038 -2.3542 3.9034
Er 2.0519 1.2006 3.8894
Er -2.0519 1.2006 3.8894
U 0.0000 -2.3542 3.9034
In 0.0000 0.0000 0.0000
In -2.0519 3.5548 -0.0140
In 2.0519 3.5548 -0.0140
Se 0.0000 2.3754 2.2868
Se 4.1038 0.0259 5.4921
Se 4.1038 2.3917 2.2888
Se 0.0000 0.0096 5.4901
Se 6.1670 -1.1880 2.3072
Se -2.0632 3.5893 5.4717
Se 2.0406 -1.1880 2.3072
Se 2.0632 3.5893 5.4717
```

As for the space group: No. 12. For the formation energy from raw total energies, the calculation gives -1263 meV/atom.

=====

Record 4
First-principles (PBE-GGA) data for a relaxed structure of Er2UIn3Se6, as listed in the Alexandria database.

```
12
Lattice="-6.1403 -0.8655 -3.5686 3.8755 -5.7131 1.8787 -3.1138 1.7858 7.3145" Properties=species:S:1:pos:R:3 pbc="T T T"
Er 0.5380 -4.0978 0.0635
Er -2.8029 -2.4808 -1.7535
U 0.0000 0.0000 0.0000
In 0.6560 -4.0155 4.6317
In -6.0346 -0.7773 0.9929
In -2.6893 -2.3964 2.8123
Se -5.8839 -2.7819 3.5933
Se -2.2993 -4.4442 0.2727
Se 0.5053 -2.0108 2.0313
Se -2.5073 -4.4162 5.4298
Se -3.0794 -0.3485 5.3519
Se -2.8714 -0.3765 0.1948
```

As for the space group: No. 12. For the formation energy from raw total energies, the calculation gives -1105 meV/atom.

=====

Record 5
First-principles (PBE-GGA) data for a relaxed structure of YEr2In3Se6, as listed in the Alexandria database.

```
12
Lattice="7.1512 -0.0010 0.0002 -3.5747 6.1936 0.0002 -1.1925 -2.0649 7.7477" Properties=species:S:1:pos:R:3 pbc="T T T"
Y 0.0000 0.0000 0.0000
Er 0.0002 4.1289 0.0002
Er 3.5762 2.0637 0.0002
In -2.3893 4.1322 3.8741
In 4.7732 -0.0045 3.8741
In 1.1919 2.0638 3.8741
Se 3.5849 2.0468 6.1421
Se 2.3748 4.1119 1.6012
Se -1.2010 2.0809 1.6060
Se -0.0187 4.1280 6.1421
Se 0.0091 0.0158 6.1469
Se 2.4026 -0.0003 1.6060
```

As for the space group: No. 12. For the formation energy from raw total energies, the calculation gives -1300 meV/atom.

=====

Record 6
First-principles (PBE-GGA) data for a relaxed structure of YErIn2Se4, as listed in the Alexandria database.

```
8
Lattice="-4.0932 -0.4990 -0.3182 0.8899 -7.0983 -0.3154 -0.8459 1.9527 7.8193" Properties=species:S:1:pos:R:3 pbc="T T T"
Y 0.0000 0.0000 0.0000
Er -1.6017 -3.7987 -0.3168
In -2.4696 0.7268 3.7506
In 0.0220 -2.5728 3.7520
Se -2.0107 -1.5345 1.3936
Se -2.0386 -4.1102 5.7921
Se -0.4335 -0.3450 6.1171
Se 0.4775 -4.8007 1.3869
```

As for the space group: No. 10. For the formation energy from raw total energies, the calculation gives -1302 meV/atom.

=====

Record 7
First-principles (PBE-GGA) data for a relaxed structure of Y2ErIn3Se6, as listed in the Alexandria database.

```
12
Lattice="-6.3343 -2.5322 -2.2132 6.0729 -2.5777 -2.8121 0.3332 -3.7284 7.1859" Properties=species:S:1:pos:R:3 pbc="T T T"
Y 1.9360 -2.5625 -2.6124
Y -2.1974 -2.5474 -2.4129
Er 0.0000 0.0000 0.0000
In 4.1602 -4.4343 0.8812
In -4.0883 -4.4040 1.2794
In 0.0359 -4.4191 1.0803
Se -1.9876 -6.8571 1.9454
Se -0.1236 -4.5535 -2.2141
Se 2.0595 -1.9811 0.2152
Se 2.1155 -6.8722 1.7473
Se 0.1955 -4.2848 4.3747
Se -2.0436 -1.9661 0.4133
```

As for the space group: No. 12. For the formation energy from raw total energies, the calculation gives -1305 meV/atom.

=====

Record 8
First-principles (PBE-GGA) data for a relaxed structure of Er5InSi2, as listed in the Alexandria database.

```
16
Lattice="0.3619 5.3786 -5.4319 2.8114 -5.1506 -4.9127 -7.9722 -1.6979 3.1786" Properties=species:S:1:pos:R:3 pbc="T T T"
Er -3.6035 -1.9849 -3.9799
Er 0.8097 -1.1698 -8.2697
Er 0.0000 0.0000 0.0000
Er 1.5867 0.1140 -5.1723
Er -5.6086 -0.3000 1.1037
Er -4.9473 1.5093 -2.4517
Er -4.2648 -3.7942 -0.4246
Er 0.1484 -2.9791 -4.7144
Er -0.5342 2.3244 -6.7415
Er -1.1955 0.5151 -3.1861
In -1.6061 -0.6779 -6.1692
In -3.1928 -0.7919 -0.9969
Si 1.0777 -1.1653 -2.5259
Si 0.6059 2.7198 -4.1013
Si 2.5674 -2.4918 -6.2433
Si 2.0956 1.3933 -7.8187
```

As for the space group: No. 140. For the formation energy from raw total energies, the calculation gives -600 meV/atom.

=====

The highest formation energy from raw total energies belongs to which entry? Er5InSi2

=====

Please write out number 5 again, unchanged.
First-principles (PBE-GGA) data for a relaxed structure of YEr2In3Se6, as listed in the Alexandria database.

```
12
Lattice="7.1512 -0.0010 0.0002 -3.5747 6.1936 0.0002 -1.1925 -2.0649 7.7477" Properties=species:S:1:pos:R:3 pbc="T T T"
Y 0.0000 0.0000 0.0000
Er 0.0002 4.1289 0.0002
Er 3.5762 2.0637 0.0002
In -2.3893 4.1322 3.8741
In 4.7732 -0.0045 3.8741
In 1.1919 2.0638 3.8741
Se 3.5849 2.0468 6.1421
Se 2.3748 4.1119 1.6012
Se -1.2010 2.0809 1.6060
Se -0.0187 4.1280 6.1421
Se 0.0091 0.0158 6.1469
Se 2.4026 -0.0003 1.6060
```

As for the space group: No. 12. For the formation energy from raw total energies, the calculation gives -1300 meV/atom.